This record from Alexandria via LeMat-Bulk describes Ca2Hg2I after structural relaxation. The functional is PBE-GGA.

The structure in CIF format:
```
data_Ca2Hg2I
_cell_length_a 8.570
_cell_length_b 8.570
_cell_length_c 4.356
_cell_angle_alpha 90.00
_cell_angle_beta 90.00
_cell_angle_gamma 90.00
_space_group_name_H-M_alt 'P 1'
_space_group_IT_number 1
loop_
_space_group_symop_operation_xyz
'x,y,z'
loop_
_atom_site_label
_atom_site_type_symbol
_atom_site_fract_x
_atom_site_fract_y
_atom_site_fract_z
I1 I 0.000 0.000 0.000
I2 I 0.500 0.500 0.000
Ca1 Ca 0.331 0.831 0.000
Ca2 Ca 0.831 0.669 0.000
Ca3 Ca 0.669 0.169 0.000
Ca4 Ca 0.169 0.331 0.000
Hg1 Hg 0.127 0.627 0.500
Hg2 Hg 0.627 0.873 0.500
Hg3 Hg 0.873 0.373 0.500
Hg4 Hg 0.373 0.127 0.500
```

Summary:
The offset from the most stable computed form is 0 meV/atom. The value obtained for the density of states at the Fermi level is 8.49 states/eV/cell. The value obtained for the energy is -0.0685 Ha/atom. Its magnetic moment is 0.00 μB/atom. As for the volume: 31.996 Å³ per atom. As for the uncorrected formation energy: -3.17 eV per formula unit.